The following is a PBE-GGA calculation of a relaxed structure of Pu3GeRu, from Alexandria via LeMat-Bulk. Values from VASP.

Computed properties:
density of states at the Fermi level: 35.240 states/eV/cell
energy of formation: -0.242 eV per atom

```
&SYSTEM
  ibrav = 0, nat = 10, ntyp = 3
/
ATOMIC_SPECIES
Pu 244.00 Pu.upf
Ge 72.64 Ge.upf
Ru 101.07 Ru.upf
CELL_PARAMETERS angstrom
6.633 0.000 0.000
0.000 4.875 0.000
-0.013 0.000 6.834
ATOMIC_POSITIONS crystal
Pu 0.204 0.250 0.251
Pu 0.280 0.750 0.539
Pu 0.281 0.750 0.962
Pu 0.719 0.250 0.038
Pu 0.720 0.250 0.461
Pu 0.796 0.750 0.749
Ge 0.073 0.250 0.751
Ge 0.927 0.750 0.249
Ru 0.457 0.250 0.749
Ru 0.543 0.750 0.251
```